Entry 1:
The following is a DFT calculation (PBE) of an optimized crystal structure of Dy3Y4Co2.

Calculated values
As for the calculated formation energy: -0.097 eV per atom. As for the spin magnetization: 0.0 μB/f.u. The value obtained for the density of states at the Fermi level is 10.6 states/eV/cell. As for the space group: C2/m.

a b c (Å): 8.396 8.396 8.941
angles (deg): 113.00 113.00 24.99
Sites, in units of the cell vectors:
Dy (0.000, 0.000, 0.000)
Dy (0.072, 0.072, 0.693)
Dy (0.928, 0.928, 0.307)
Y (0.228, 0.228, 0.146)
Y (0.364, 0.364, 0.606)
Y (0.636, 0.636, 0.394)
Y (0.772, 0.772, 0.854)
Co (0.383, 0.383, 0.065)
Co (0.617, 0.617, 0.935)

Entry 2:
The following is a DFT calculation (PBE) of an optimized crystal structure of YZn8Ir4.

Calculated values
As for the calculated formation energy: -0.335 eV per atom. As for the spin magnetization: 0.0 μB/f.u. The value obtained for the density of states at the Fermi level is 4.7 states/eV/cell. As for the space group: I4/mmm.

a b c (Å): 6.705 6.705 6.705
angles (deg): 100.11 100.11 130.45
Sites, in units of the cell vectors:
Y (0.000, 0.000, 0.000)
Zn (0.000, 0.336, 0.336)
Zn (0.000, 0.664, 0.664)
Zn (0.275, 0.500, 0.775)
Zn (0.336, 0.000, 0.336)
Zn (0.500, 0.275, 0.775)
Zn (0.500, 0.725, 0.225)
Zn (0.664, 0.000, 0.664)
Zn (0.725, 0.500, 0.225)
Ir (0.000, 0.000, 0.500)
Ir (0.000, 0.500, 0.000)
Ir (0.500, 0.000, 0.000)
Ir (0.500, 0.500, 0.500)

Entry 3:
The following is a DFT calculation (PBE) of an optimized crystal structure of InRh2Br.

Calculated values
As for the spin magnetization: 0.0 μB/f.u. The value obtained for the density of states at the Fermi level is 4.5 states/eV/cell. As for the space group: P4/mmm. The uncorrected formation energy is 246 meV per atom. The energy above the lowest structure with this stoichiometry comes out at 91 kJ/mol of formula units.

a b c (Å): 4.679 4.679 3.174
angles (deg): 90.00 90.00 90.00
Sites, in units of the cell vectors:
In (0.000, 0.000, 0.000)
Rh (0.000, 0.500, 0.500)
Rh (0.500, 0.000, 0.500)
Br (0.500, 0.500, 0.000)

Entry 4:
The following is a DFT calculation (PBE) of an optimized crystal structure of Tm5CoSn2.

Calculated values
As for the calculated formation energy: -0.056 eV per atom. As for the spin magnetization: 0.0 μB/f.u. The value obtained for the density of states at the Fermi level is 13.6 states/eV/cell. As for the space group: Cmcm.

a b c (Å): 8.318 8.318 12.915
angles (deg): 90.00 90.00 141.61
Sites, in units of the cell vectors:
Tm (0.054, 0.946, 0.616)
Tm (0.054, 0.946, 0.884)
Tm (0.277, 0.723, 0.598)
Tm (0.277, 0.723, 0.902)
Tm (0.301, 0.699, 0.250)
Tm (0.699, 0.301, 0.750)
Tm (0.723, 0.277, 0.098)
Tm (0.723, 0.277, 0.402)
Tm (0.946, 0.054, 0.116)
Tm (0.946, 0.054, 0.384)
Co (0.169, 0.831, 0.750)
Co (0.831, 0.169, 0.250)
Sn (0.141, 0.859, 0.093)
Sn (0.141, 0.859, 0.407)
Sn (0.859, 0.141, 0.593)
Sn (0.859, 0.141, 0.907)

Entry 5:
The following is a DFT calculation (PBE) of an optimized crystal structure of BeCrMo.

Calculated values
As for the calculated formation energy: 0.176 eV per atom. As for the spin magnetization: 0.0 μB/f.u. The value obtained for the density of states at the Fermi level is 2.9 states/eV/cell. As for the space group: Imm2. The energy above the lowest structure with this stoichiometry comes out at 32 kJ/mol of formula units.

a b c (Å): 2.516 3.896 7.618
angles (deg): 90.00 90.00 90.00
Sites, in units of the cell vectors:
Be (0.000, 0.000, 0.000)
Be (0.500, 0.500, 0.500)
Cr (0.000, 0.000, 0.654)
Cr (0.500, 0.500, 0.154)
Mo (0.000, 0.000, 0.333)
Mo (0.500, 0.500, 0.833)

Entry 6:
The following is a DFT calculation (PBE) of an optimized crystal structure of Ta2MnAl.

Calculated values
As for the calculated formation energy: -0.135 eV per atom. As for the spin magnetization: 0.0 μB/f.u. The value obtained for the density of states at the Fermi level is 1.7 states/eV/cell. As for the space group: P4mm.

a b c (Å): 3.044 3.044 6.777
angles (deg): 90.00 90.00 90.00
Sites, in units of the cell vectors:
Ta (0.000, 0.000, 0.000)
Ta (0.500, 0.500, 0.301)
Mn (0.500, 0.500, 0.797)
Al (0.000, 0.000, 0.585)

Entry 7:
The following is a DFT calculation (PBE) of an optimized crystal structure of CrCu2SCl.

Calculated values
As for the spin magnetization: 4.9 μB/f.u. The value obtained for the density of states at the Fermi level is 0.9 states/eV/cell. As for the space group: P4/mmm. The uncorrected formation energy is 47 meV per atom.

a b c (Å): 4.350 4.350 4.954
angles (deg): 90.00 90.00 90.00
Sites, in units of the cell vectors:
Cr (0.000, 0.000, 0.000)
Cu (0.000, 0.500, 0.500)
Cu (0.500, 0.000, 0.500)
S (0.000, 0.000, 0.500)
Cl (0.500, 0.500, 0.000)

Entry 8:
The following is a DFT calculation (PBE) of an optimized crystal structure of PrTl2InSe4.

Calculated values
As for the spin magnetization: 0.0 μB/f.u. The value obtained for the density of states at the Fermi level is 1.6 states/eV/cell. As for the space group: Imma. The uncorrected formation energy is -870 meV per atom. The energy above the lowest structure with this stoichiometry comes out at 0 kJ/mol of formula units.

a b c (Å): 8.794 8.794 8.794
angles (deg): 121.13 119.66 89.32
Sites, in units of the cell vectors:
Pr (0.000, 0.000, 0.000)
Pr (0.500, 0.000, 0.500)
Tl (0.000, 0.500, 0.500)
Tl (0.500, 0.000, 0.000)
Tl (0.500, 0.500, 0.000)
Tl (0.500, 0.500, 0.500)
In (0.000, 0.000, 0.500)
In (0.000, 0.500, 0.000)
Se (0.207, 0.242, 0.965)
Se (0.223, 0.758, 0.465)
Se (0.234, 0.216, 0.481)
Se (0.234, 0.753, 0.019)
Se (0.766, 0.247, 0.981)
Se (0.766, 0.784, 0.519)
Se (0.777, 0.242, 0.535)
Se (0.793, 0.758, 0.035)

Entry 9:
The following is a DFT calculation (PBE) of an optimized crystal structure of SrAlOs2N.

Calculated values
As for the spin magnetization: 5.9 μB/f.u. The value obtained for the density of states at the Fermi level is 4.0 states/eV/cell. As for the space group: P4/mmm. The uncorrected formation energy is 3846 meV per atom.

a b c (Å): 5.083 5.083 6.057
angles (deg): 90.00 90.00 90.00
Sites, in units of the cell vectors:
Sr (0.000, 0.000, 0.000)
Al (0.000, 0.000, 0.500)
Os (0.000, 0.500, 0.000)
Os (0.500, 0.000, 0.000)
N (0.500, 0.500, 0.500)

Entry 10:
The following is a DFT calculation (PBE) of an optimized crystal structure of TiAlH2.

Calculated values
As for the spin magnetization: 0.0 μB/f.u. The value obtained for the density of states at the Fermi level is 8.3 states/eV/cell. As for the space group: Fm-3m. The energy above the lowest structure with this stoichiometry comes out at 150 kJ/mol of formula units.

a b c (Å): 5.285 5.285 5.285
angles (deg): 90.00 90.00 90.00
Sites, in units of the cell vectors:
Ti (0.000, 0.000, 0.000)
Ti (0.000, 0.500, 0.500)
Ti (0.500, 0.000, 0.500)
Ti (0.500, 0.500, 0.000)
Al (0.000, 0.000, 0.500)
Al (0.000, 0.500, 0.000)
Al (0.500, 0.000, 0.000)
Al (0.500, 0.500, 0.500)
H (0.250, 0.250, 0.250)
H (0.250, 0.250, 0.750)
H (0.250, 0.750, 0.250)
H (0.250, 0.750, 0.750)
H (0.750, 0.250, 0.250)
H (0.750, 0.250, 0.750)
H (0.750, 0.750, 0.250)
H (0.750, 0.750, 0.750)

Entry 11:
The following is a DFT calculation (PBE) of an optimized crystal structure of TcNi5Pd.

Calculated values
As for the calculated formation energy: 0.112 eV per atom. As for the spin magnetization: 0.0 μB/f.u. The value obtained for the density of states at the Fermi level is 42.3 states/eV/cell. As for the space group: P2_1/c.

a b c (Å): 6.138 6.859 8.608
angles (deg): 90.00 109.03 90.00
Sites, in units of the cell vectors:
Tc (0.002, 0.103, 0.191)
Tc (0.002, 0.397, 0.691)
Tc (0.998, 0.603, 0.309)
Tc (0.998, 0.897, 0.809)
Ni (0.133, 0.209, 0.952)
Ni (0.133, 0.291, 0.452)
Ni (0.144, 0.586, 0.958)
Ni (0.144, 0.914, 0.458)
Ni (0.275, 0.111, 0.719)
Ni (0.275, 0.389, 0.219)
Ni (0.275, 0.613, 0.619)
Ni (0.275, 0.887, 0.119)
Ni (0.429, 0.084, 0.365)
Ni (0.429, 0.416, 0.865)
Ni (0.571, 0.584, 0.135)
Ni (0.571, 0.916, 0.635)
Ni (0.725, 0.113, 0.881)
Ni (0.725, 0.387, 0.381)
Ni (0.725, 0.611, 0.781)
Ni (0.725, 0.889, 0.281)
Ni (0.856, 0.086, 0.542)
Ni (0.856, 0.414, 0.042)
Ni (0.867, 0.709, 0.548)
Ni (0.867, 0.791, 0.048)
Pd (0.442, 0.685, 0.388)
Pd (0.442, 0.815, 0.888)
Pd (0.558, 0.185, 0.112)
Pd (0.558, 0.315, 0.612)

Entry 12:
The following is a DFT calculation (PBE) of an optimized crystal structure of NbSiSe2Br.

Calculated values
As for the spin magnetization: 2.8 μB/f.u. The value obtained for the density of states at the Fermi level is 3.6 states/eV/cell. As for the space group: P4/mmm. The uncorrected formation energy is 553 meV per atom. The energy above the lowest structure with this stoichiometry comes out at 137 kJ/mol of formula units.

a b c (Å): 4.892 4.892 4.836
angles (deg): 90.00 90.00 90.00
Sites, in units of the cell vectors:
Nb (0.000, 0.000, 0.000)
Si (0.500, 0.500, 0.500)
Se (0.000, 0.500, 0.500)
Se (0.500, 0.000, 0.500)
Br (0.500, 0.500, 0.000)

Entry 13:
The following is a DFT calculation (PBE) of an optimized crystal structure of NpP2Au.

Calculated values
As for the calculated formation energy: -0.121 eV per atom. As for the spin magnetization: 2.0 μB/f.u. The value obtained for the density of states at the Fermi level is 20.9 states/eV/cell. As for the space group: R-3m.

a b c (Å): 4.185 4.185 21.188
angles (deg): 90.00 90.00 120.00
Sites, in units of the cell vectors:
Np (0.000, 0.000, 0.000)
Np (0.333, 0.667, 0.667)
Np (0.667, 0.333, 0.333)
P (0.000, 0.000, 0.390)
P (0.000, 0.000, 0.610)
P (0.333, 0.667, 0.057)
P (0.333, 0.667, 0.276)
P (0.667, 0.333, 0.724)
P (0.667, 0.333, 0.943)
Au (0.000, 0.000, 0.500)
Au (0.333, 0.667, 0.167)
Au (0.667, 0.333, 0.833)

Entry 14:
The following is a DFT calculation (PBE) of an optimized crystal structure of SmHo10Sc4.

Calculated values
As for the calculated formation energy: 0.583 eV per atom. As for the spin magnetization: 0.0 μB/f.u. The value obtained for the density of states at the Fermi level is 28.2 states/eV/cell. As for the space group: I4/m.

a b c (Å): 9.266 9.266 9.266
angles (deg): 97.23 97.23 138.43
Sites, in units of the cell vectors:
Sm (0.000, 0.000, 0.000)
Ho (0.035, 0.632, 0.158)
Ho (0.123, 0.965, 0.597)
Ho (0.250, 0.750, 0.500)
Ho (0.368, 0.525, 0.403)
Ho (0.475, 0.877, 0.842)
Ho (0.525, 0.123, 0.158)
Ho (0.632, 0.475, 0.597)
Ho (0.750, 0.250, 0.500)
Ho (0.877, 0.035, 0.403)
Ho (0.965, 0.368, 0.842)
Sc (0.324, 0.431, 0.755)
Sc (0.431, 0.676, 0.107)
Sc (0.569, 0.324, 0.893)
Sc (0.676, 0.569, 0.245)

Entry 15:
The following is a DFT calculation (PBE) of an optimized crystal structure of Zn2Pt3.

Calculated values
As for the calculated formation energy: -0.404 eV per atom. As for the spin magnetization: 0.0 μB/f.u. The value obtained for the density of states at the Fermi level is 7.0 states/eV/cell. As for the space group: R-3m. The energy above the lowest structure with this stoichiometry comes out at 26 kJ/mol of formula units.

a b c (Å): 2.840 2.840 32.252
angles (deg): 90.00 90.00 120.00
Sites, in units of the cell vectors:
Zn (0.000, 0.000, 0.101)
Zn (0.000, 0.000, 0.899)
Zn (0.333, 0.667, 0.566)
Zn (0.333, 0.667, 0.767)
Zn (0.667, 0.333, 0.233)
Zn (0.667, 0.333, 0.434)
Pt (0.000, 0.000, 0.296)
Pt (0.000, 0.000, 0.500)
Pt (0.000, 0.000, 0.704)
Pt (0.333, 0.667, 0.167)
Pt (0.333, 0.667, 0.370)
Pt (0.333, 0.667, 0.963)
Pt (0.667, 0.333, 0.037)
Pt (0.667, 0.333, 0.630)
Pt (0.667, 0.333, 0.833)

Entry 16:
The following is a DFT calculation (PBE) of an optimized crystal structure of LiPrGdSc.

Calculated values
As for the calculated formation energy: 0.142 eV per atom. As for the spin magnetization: 7.2 μB/f.u. The value obtained for the density of states at the Fermi level is 18.1 states/eV/cell. As for the space group: F-43m.

a b c (Å): 7.684 7.684 7.684
angles (deg): 90.00 90.00 90.00
Sites, in units of the cell vectors:
Li (0.000, 0.000, 0.000)
Li (0.000, 0.500, 0.500)
Li (0.500, 0.000, 0.500)
Li (0.500, 0.500, 0.000)
Pr (0.250, 0.250, 0.250)
Pr (0.250, 0.750, 0.750)
Pr (0.750, 0.250, 0.750)
Pr (0.750, 0.750, 0.250)
Gd (0.250, 0.250, 0.750)
Gd (0.250, 0.750, 0.250)
Gd (0.750, 0.250, 0.250)
Gd (0.750, 0.750, 0.750)
Sc (0.000, 0.000, 0.500)
Sc (0.000, 0.500, 0.000)
Sc (0.500, 0.000, 0.000)
Sc (0.500, 0.500, 0.500)

Entry 17:
The following is a DFT calculation (PBE) of an optimized crystal structure of HoTmHf2.

Calculated values
As for the calculated formation energy: 0.173 eV per atom. As for the spin magnetization: 0.0 μB/f.u. The value obtained for the density of states at the Fermi level is 5.1 states/eV/cell. As for the space group: P4/mmm. The energy above the lowest structure with this stoichiometry comes out at 2 kJ/mol of formula units.

a b c (Å): 4.628 4.628 4.769
angles (deg): 90.00 90.00 90.00
Sites, in units of the cell vectors:
Ho (0.000, 0.000, 0.000)
Tm (0.500, 0.500, 0.000)
Hf (0.000, 0.500, 0.500)
Hf (0.500, 0.000, 0.500)

Entry 18:
The following is a DFT calculation (PBE) of an optimized crystal structure of Th3RuC.

Calculated values
As for the calculated formation energy: -0.022 eV per atom. As for the spin magnetization: 0.0 μB/f.u. The value obtained for the density of states at the Fermi level is 9.6 states/eV/cell. As for the space group: C2/m.

a b c (Å): 7.224 7.224 11.442
angles (deg): 110.97 110.97 28.31
Sites, in units of the cell vectors:
Th (0.050, 0.050, 0.278)
Th (0.196, 0.196, 0.604)
Th (0.361, 0.361, 0.977)
Th (0.639, 0.639, 0.023)
Th (0.804, 0.804, 0.396)
Th (0.950, 0.950, 0.722)
Ru (0.156, 0.156, 0.832)
Ru (0.844, 0.844, 0.168)
C (0.360, 0.360, 0.563)
C (0.640, 0.640, 0.437)

Entry 19:
The following is a DFT calculation (PBE) of an optimized crystal structure of Si5P6O25.

Calculated values
As for the spin magnetization: 0.0 μB/f.u. The value obtained for the density of states at the Fermi level is 0.0 states/eV/cell. As for the space group: R-3. The uncorrected formation energy is -2386 meV per atom.

a b c (Å): 9.327 9.327 9.327
angles (deg): 50.63 50.63 50.63
Sites, in units of the cell vectors:
Si (0.000, 0.000, 0.000)
Si (0.181, 0.181, 0.181)
Si (0.434, 0.434, 0.434)
Si (0.566, 0.566, 0.566)
Si (0.819, 0.819, 0.819)
P (0.074, 0.377, 0.826)
P (0.174, 0.926, 0.623)
P (0.377, 0.826, 0.074)
P (0.623, 0.174, 0.926)
P (0.826, 0.074, 0.377)
P (0.926, 0.623, 0.174)
O (0.023, 0.751, 0.104)
O (0.073, 0.783, 0.729)
O (0.094, 0.427, 0.148)
O (0.104, 0.023, 0.751)
O (0.148, 0.094, 0.427)
O (0.212, 0.424, 0.593)
O (0.217, 0.271, 0.927)
O (0.249, 0.896, 0.977)
O (0.271, 0.927, 0.217)
O (0.407, 0.788, 0.576)
O (0.424, 0.593, 0.212)
O (0.427, 0.148, 0.094)
O (0.500, 0.500, 0.500)
O (0.573, 0.852, 0.906)
O (0.576, 0.407, 0.788)
O (0.593, 0.212, 0.424)
O (0.729, 0.073, 0.783)
O (0.751, 0.104, 0.023)
O (0.783, 0.729, 0.073)
O (0.788, 0.576, 0.407)
O (0.852, 0.906, 0.573)
O (0.896, 0.977, 0.249)
O (0.906, 0.573, 0.852)
O (0.927, 0.217, 0.271)
O (0.977, 0.249, 0.896)

Entry 20:
The following is a DFT calculation (PBE) of an optimized crystal structure of SrOsF3.

Calculated values
As for the spin magnetization: 5.0 μB/f.u. The value obtained for the density of states at the Fermi level is 8.0 states/eV/cell. As for the space group: Pm-3m. The uncorrected formation energy is -1194 meV per atom. The energy above the lowest structure with this stoichiometry comes out at 20 kJ/mol of formula units.

a b c (Å): 4.735 4.735 4.735
angles (deg): 90.00 90.00 90.00
Sites, in units of the cell vectors:
Sr (0.000, 0.000, 0.000)
Os (0.500, 0.500, 0.500)
F (0.000, 0.000, 0.500)
F (0.000, 0.500, 0.000)
F (0.500, 0.000, 0.000)